(1)
Computed, not measured: a geometry-optimized Zn2GePt5 structure at the PBE-GGA level of DFT.

Lattice parameters (Å, degrees): 4.063 5.552 10.705 90.00 90.00 90.00
Fractional coordinates of all 16 atoms:
1 Zn 0.500 0.334 0.356
2 Zn 0.500 0.666 0.644
3 Zn 0.500 0.166 0.856
4 Zn 0.500 0.834 0.144
5 Ge 0.000 0.000 0.500
6 Ge 0.000 0.500 0.000
7 Pt 0.500 0.306 0.105
8 Pt 0.500 0.694 0.895
9 Pt 0.500 0.806 0.395
10 Pt 0.500 0.194 0.605
11 Pt 0.000 0.928 0.736
12 Pt 0.000 0.072 0.264
13 Pt 0.000 0.428 0.764
14 Pt 0.000 0.572 0.236
15 Pt 0.000 0.500 0.500
16 Pt 0.000 0.000 0.000

Its density of states at the Fermi level is 1.17 states/eV/f.u. Its energy of formation from the pure elements is -0.47 eV/atom.

(2)
Computed, not measured: a geometry-optimized ZrGePt structure at the PBE-GGA level of DFT.

Lattice parameters (Å, degrees): 3.183 4.380 4.380 120.00 90.00 90.00
Fractional coordinates of all 3 atoms:
1 Ge 0.167 0.333 0.667
2 Zr 0.667 0.667 0.333
3 Pt 0.167 0.000 0.000

Its density of states at the Fermi level is 1.13 states/eV/f.u. Its energy of formation from the pure elements is -0.94 eV/atom.

Going through the records in order, we get E values of -5.145, -7.339 eV/atom.